No. 1
# KScCo2

An optimized crystal structure of KScCo2 (PBE, Alexandria via LeMat-Bulk).

Raw total energy = -4.99 eV/atom
ΔH_f (0 K) = 1.673 eV/f.u.
Crystal system = tetragonal
Energy above the lowest structure with this stoichiometry = 62 kJ/mol of formula units

Unit cell a=3.4601 b=3.4601 c=7.5217 alpha=90.00 beta=90.00 gamma=90.00
Sites, in units of the cell vectors:
K (0.0000, 0.0000, 0.0000)
Sc (0.0000, 0.0000, 0.5000)
Co (0.5000, 0.5000, 0.3523)
Co (0.5000, 0.5000, 0.6477)

No. 2
# KScCo2

An optimized crystal structure of KScCo2 (PBE, Alexandria via LeMat-Bulk).

Raw total energy = -5.03 eV/atom
ΔH_f (0 K) = 1.504 eV/f.u.
Crystal system = tetragonal
Energy above the lowest structure with this stoichiometry = 46 kJ/mol of formula units

Unit cell a=3.2238 b=3.2238 c=8.5201 alpha=90.00 beta=90.00 gamma=90.00
Sites, in units of the cell vectors:
K (0.0000, 0.0000, 0.0000)
Sc (0.5000, 0.5000, 0.4206)
Co (0.0000, 0.0000, 0.6050)
Co (0.5000, 0.5000, 0.6962)